Record 1
14
Lattice="4.299 0.000 1.176 1.541 7.815 2.812 0.002 0.384 8.439" Properties=species:S:1:pos:R:3 comment="GGA-PBE Sm3Zn6Ag5, relaxed" dos_at_fermi_per_ev_cell=6.97 rho_kg_m3=8213 total_energy_ev_per_atom=-2.8353 pbc="T T T"
Sm 0.000 0.000 0.000
Sm 3.473 2.457 4.195
Sm 2.369 5.743 8.233
Zn 3.211 5.499 5.154
Zn 2.631 2.700 7.273
Zn 4.388 3.582 9.299
Zn 1.455 4.618 3.128
Zn 5.041 6.738 6.910
Zn 0.801 1.461 5.518
Ag 3.922 5.745 11.002
Ag 1.920 2.455 1.426
Ag 4.376 7.939 9.341
Ag 1.466 0.261 3.087
Ag 0.772 4.100 5.626


Record 2
12
Lattice="-2.388 5.087 0.835 -5.841 -2.594 -0.900 0.591 -0.770 6.381" Properties=species:S:1:pos:R:3 comment="GGA-PBE SmZn3Ag2, relaxed" dos_at_fermi_per_ev_cell=6.27 rho_kg_m3=8011 total_energy_ev_per_atom=-2.5472 pbc="T T T"
Sm -2.410 0.111 2.101
Sm -5.229 1.613 4.214
Zn -4.217 2.599 1.103
Zn -2.327 3.135 3.242
Zn -3.421 -0.874 5.213
Zn -1.950 3.714 0.792
Zn -5.688 -1.989 5.523
Zn -5.311 -1.410 3.073
Ag -5.580 0.363 1.164
Ag -4.386 -2.181 0.747
Ag -0.864 -1.182 4.734
Ag -2.058 1.361 5.151


Record 3
12
Lattice="5.261 0.000 1.647 2.373 4.695 1.647 -0.071 -0.044 9.455" Properties=species:S:1:pos:R:3 comment="GGA-PBE Sm3Zn7Ag2, relaxed" dos_at_fermi_per_ev_cell=8.60 rho_kg_m3=7970 total_energy_ev_per_atom=-2.6820 pbc="T T T"
Sm 0.000 0.000 0.000
Sm 6.523 4.012 6.842
Sm 1.039 0.639 5.907
Zn 3.781 2.326 6.374
Zn 5.807 1.931 4.581
Zn 4.342 4.312 4.581
Zn 3.139 1.931 3.747
Zn 1.756 2.721 8.167
Zn 4.423 2.721 9.002
Zn 3.220 0.340 8.167
Ag 5.080 3.124 2.225
Ag 2.482 1.527 10.523


Record 4
4
Lattice="-3.616 0.077 -0.721 0.687 -0.804 -3.533 -0.456 -7.114 1.529" Properties=species:S:1:pos:R:3 comment="GGA-PBE Sm2ZnAg, relaxed" dos_at_fermi_per_ev_cell=3.82 rho_kg_m3=7938 total_energy_ev_per_atom=-3.6966 pbc="T T T"
Zn -1.464 -0.363 -2.127
Ag -1.692 -3.920 -1.362
Sm -0.346 -5.394 1.159
Sm -0.110 -1.720 0.370


Record 5
13
Lattice="-3.328 -1.898 -3.872 -4.657 -4.595 2.423 -5.663 3.712 -0.783" Properties=species:S:1:pos:R:3 comment="GGA-PBE SmZn10Ag2, relaxed" dos_at_fermi_per_ev_cell=4.14 rho_kg_m3=7749 total_energy_ev_per_atom=-1.9273 pbc="T T T"
Sm 0.000 0.000 0.000
Zn -7.833 -1.293 -0.296
Zn -5.815 -1.487 -1.936
Zn -5.264 0.758 0.321
Zn -8.385 -3.539 -2.553
Zn -2.832 1.856 -0.391
Zn -4.496 0.907 -2.327
Zn -3.169 -0.695 -0.767
Zn -10.480 -2.086 -1.464
Zn -6.567 -3.757 -0.177
Zn -7.081 0.977 -2.055
Ag -2.328 -2.298 1.212
Ag -3.993 -3.246 -0.724


Record 6
4
Lattice="-1.947 -1.010 -2.560 2.716 -0.195 -1.989 0.931 -6.675 1.925" Properties=species:S:1:pos:R:3 comment="GGA-PBE SmZn2Ag, relaxed" dos_at_fermi_per_ev_cell=3.00 rho_kg_m3=8109 total_energy_ev_per_atom=-2.6935 pbc="T T T"
Zn 0.738 -5.292 1.526
Zn 0.193 -1.383 0.399
Ag 0.384 -0.602 -2.274
Sm 0.850 -3.940 -1.312